Below is a relaxed structure of Er2NiGe4Rh3, with properties calculated at the PBE level.

a = 4.087 Å, b = 4.087 Å, c = 10.440 Å
α = 90.00°, β = 90.00°, γ = 90.00°
Space group P-4m2 (No. 115)
Symmetry-distinct sites (fractional):
Er1 0.000 0.500 0.250 x2
Ni1 0.000 0.000 0.500 x1
Ge1 0.000 0.000 0.000 x1
Ge2 0.000 0.500 0.631 x2
Ge3 0.500 0.500 0.000 x1
Rh1 0.000 0.500 0.864 x2
Rh2 0.500 0.500 0.500 x1

Energy relative to the elements: -0.76 eV per atom
Final energy: -62.99 eV/cell

---

Below is a relaxed structure of CeSc3Bi2, with properties calculated at the PBE level.

a = 18.786 Å, b = 4.313 Å, c = 10.579 Å
α = 90.00°, β = 123.66°, γ = 90.00°
Space group C2/m (No. 12)
Symmetry-distinct sites (fractional):
Ce1 0.118 0.000 0.113 x4
Sc1 0.047 0.000 0.687 x4
Sc2 0.098 0.500 0.528 x4
Sc3 0.182 0.500 0.903 x4
Bi1 0.007 0.500 0.178 x4
Bi2 0.226 0.000 0.734 x4

Energy relative to the elements: -0.41 eV per atom
Final energy: -140.50 eV/cell

---

Below is a relaxed structure of Pm2Al2Ru2C, with properties calculated at the PBE level.

a = 11.254 Å, b = 4.235 Å, c = 7.305 Å
α = 90.00°, β = 129.30°, γ = 90.00°
Space group C2/m (No. 12)
Symmetry-distinct sites (fractional):
Pm1 0.058 0.000 0.327 x4
Al1 0.161 0.500 0.106 x4
Ru1 0.197 0.500 0.799 x4
C1 0.000 0.500 0.500 x2

Energy relative to the elements: -0.49 eV per atom
Final energy: -96.43 eV/cell

---

Below is a relaxed structure of YTm3Pd, with properties calculated at the PBE level.

a = 17.197 Å, b = 5.175 Å, c = 6.219 Å
α = 90.00°, β = 96.47°, γ = 90.00°
Space group C2/m (No. 12)
Symmetry-distinct sites (fractional):
Y1 0.089 0.000 0.359 x4
Tm1 0.039 0.500 0.772 x4
Tm2 0.183 0.000 0.899 x4
Tm3 0.206 0.500 0.564 x4
Pd1 0.147 0.500 0.132 x4

Energy relative to the elements: -0.29 eV per atom
Final energy: -106.00 eV/cell

---

- What is the final energy in the first record?
  -62.99 eV/cell